A plane-wave DFT calculation with GGA-PBE was carried out for Pr2Ti3O8 after structural relaxation.

Output
E_form (uncorrected): -38.8 eV per formula unit
crystal system: tetragonal
density of states at the Fermi level: 0.26 states/eV/atom

abc: 3.908 3.908 11.034
angles: 90.00 90.00 90.00
Space group P4/mmm (No. 123)
Symmetry-distinct sites (fractional):
Pr 0.000 0.000 0.196
Ti 0.500 0.500 0.000
Ti 0.500 0.500 0.363
O 0.000 0.500 0.000
O 0.000 0.500 0.343
O 0.500 0.500 0.176


A plane-wave DFT calculation with GGA-PBE was carried out for PrTiO after structural relaxation.

Output
E_form (uncorrected): -3.8 eV per formula unit
crystal system: orthorhombic
density of states at the Fermi level: 0.59 states/eV/atom

abc: 11.456 3.286 5.689
angles: 90.00 90.00 90.00
Space group Amm2 (No. 38)
Symmetry-distinct sites (fractional):
Pr 0.147 0.000 0.000
Ti 0.396 0.000 0.665
O 0.000 0.000 0.667
O 0.500 0.000 0.999


A plane-wave DFT calculation with GGA-PBE was carried out for Pr3TiO after structural relaxation.

Output
E_form (uncorrected): -4.7 eV per formula unit
crystal system: cubic
density of states at the Fermi level: 1.02 states/eV/atom

abc: 5.008 5.008 5.008
angles: 90.00 90.00 90.00
Space group Pm-3m (No. 221)
Symmetry-distinct sites (fractional):
Pr 0.000 0.000 0.500
Ti 0.500 0.500 0.500
O 0.000 0.000 0.000


A plane-wave DFT calculation with GGA-PBE was carried out for PrTi2O5 after structural relaxation.

Output
E_form (uncorrected): -24.9 eV per formula unit
crystal system: orthorhombic
density of states at the Fermi level: 0.18 states/eV/atom

abc: 3.690 11.894 5.019
angles: 90.00 90.00 90.00
Space group Pmmn (No. 59, origin choice 2)
Symmetry-distinct sites (fractional):
Pr 0.250 0.250 0.113
Ti 0.250 0.593 0.424
O 0.250 0.081 0.433
O 0.250 0.630 0.082
O 0.250 0.750 0.574


A plane-wave DFT calculation with GGA-PBE was carried out for Pr3TiO7 after structural relaxation.

Output
E_form (uncorrected): -33.7 eV per formula unit
crystal system: orthorhombic
density of states at the Fermi level: 0.20 states/eV/atom

abc: 7.908 10.648 7.767
angles: 90.00 90.00 90.00
Space group C222_1 (No. 20)
Symmetry-distinct sites (fractional):
Pr 0.006 0.000 0.000
Pr 0.228 0.274 0.750
Ti 0.023 0.500 0.000
O 0.000 0.134 0.250
O 0.000 0.137 0.750
O 0.000 0.442 0.750
O 0.186 0.375 0.030
O 0.205 0.392 0.476


A plane-wave DFT calculation with GGA-PBE was carried out for Pr5Ti2O12 after structural relaxation.

Output
E_form (uncorrected): -60.6 eV per formula unit
crystal system: monoclinic
density of states at the Fermi level: 0.87 states/eV/atom

abc: 12.855 6.052 7.658
angles: 90.00 107.23 90.00
Space group C2/m (No. 12)
Symmetry-distinct sites (fractional):
Pr 0.000 0.000 0.000
Pr 0.192 0.500 0.854
Pr 0.194 0.500 0.338
Ti 0.000 0.241 0.500
O 0.001 0.000 0.674
O 0.001 0.500 0.327
O 0.154 0.249 0.077
O 0.158 0.262 0.579


- E_form (uncorrected) of number 6 (Pr5Ti2O12)?
  -60.6 eV per formula unit


- What is the density of states at the Fermi level in the fourth record?
  0.18 states/eV/atom


Repeat the fourth record exactly.
A plane-wave DFT calculation with GGA-PBE was carried out for PrTi2O5 after structural relaxation.

Output
E_form (uncorrected): -24.9 eV per formula unit
crystal system: orthorhombic
density of states at the Fermi level: 0.18 states/eV/atom

abc: 3.690 11.894 5.019
angles: 90.00 90.00 90.00
Space group Pmmn (No. 59, origin choice 2)
Symmetry-distinct sites (fractional):
Pr 0.250 0.250 0.113
Ti 0.250 0.593 0.424
O 0.250 0.081 0.433
O 0.250 0.630 0.082
O 0.250 0.750 0.574